1.
Crystalline Pr3Ag2Hg3 at its relaxed geometry, computed with PBE-GGA.

POSCAR file:
```
Pr3Ag2Hg3
1.0
-4.313 1.427 1.694
0.133 -5.704 -1.795
4.310 -4.560 14.812
Hg Ag Pr
6 4 6
Direct
0.385 0.770 0.547
0.626 0.252 0.750
0.385 0.770 0.953
0.374 0.748 0.250
0.615 0.230 0.453
0.615 0.230 0.047
0.787 0.574 0.607
0.213 0.426 0.393
0.213 0.426 0.107
0.787 0.574 0.893
0.341 0.682 0.750
0.084 0.168 0.602
0.916 0.832 0.102
0.084 0.168 0.898
0.659 0.318 0.250
0.916 0.832 0.398
```

Output
M_tot: 0.00 μB per atom
ρ: 9.66 Mg/m³
E_tot: -2.97 eV per atom
ΔH_f (0 K): -34.4 kJ per mole of atoms
space group: Cmcm (63)

=====

2.
Crystalline GePSO2 at its relaxed geometry, computed with PBE-GGA.

POSCAR file:
```
GePSO2
1.0
-3.028 1.764 -1.092
-1.146 -3.033 -1.721
-2.209 -1.378 3.899
O P Ge S
2 1 1 1
Direct
0.000 0.500 0.000
0.500 0.000 0.000
0.000 0.000 0.500
0.500 0.500 0.500
0.000 0.000 0.000
```

Output
M_tot: 0.00 μB per atom
ρ: 4.41 Mg/m³
formation energy (no corrections): 0.607 eV/f.u.
E_tot: -4.69 eV per atom
space group: P4/mmm (123)

=====

3.
Crystalline LaZrS3 at its relaxed geometry, computed with PBE-GGA.

POSCAR file:
```
LaZrS3
1.0
-0.456 -3.133 -4.321
4.870 -2.018 0.950
-2.184 -3.847 3.020
La S Zr
1 3 1
Direct
0.000 0.000 0.000
0.500 0.000 0.000
0.000 0.000 0.500
0.000 0.500 0.000
0.500 0.500 0.500
```

Output
M_tot: 0.20 μB per atom
ρ: 3.53 Mg/m³
formation energy (no corrections): -1.245 eV/f.u.
excess energy over the best structure of this formula in the dataset: 1615.9 meV/atom
E_tot: -5.42 eV per atom
space group: Pm-3m (221)

=====

Question: What is the formula in the second record?
Answer: GePSO2